Record 1
Entry from the Alexandria database: a geometry-optimized PmSnP2 structure (PBE).

Values from the calculation:
energy above the lowest structure with this stoichiometry: 9.1 kJ/mol of atoms

```
PmSnP2
1.0
-0.8578 0.7310 3.5123
-1.7604 -4.4327 0.4926
4.3184 -1.5616 1.3798
P Sn Pm
2 1 1
Direct
0.0000 0.0000 0.5000 P
0.0000 0.5000 0.0000 P
0.5000 0.0000 0.0000 Sn
0.5000 0.5000 0.5000 Pm
```


Record 2
Entry from the Alexandria database: a geometry-optimized TbV2Fe structure (PBE).

Values from the calculation:
electronic total energy: -7.539 eV per atom

```
TbV2Fe
1.0
3.9342 0.0000 0.0000
1.9671 3.4071 0.0000
1.9671 1.1357 5.4281
Tb Fe V
1 1 2
Direct
0.5000 0.5000 0.5000 Tb
0.0000 0.0000 0.0000 Fe
0.2957 0.2957 0.1128 V
0.7043 0.7043 0.8872 V
```


Record 3
Entry from the Alexandria database: a geometry-optimized K2ZrGa2O6 structure (PBE).

Values from the calculation:
formation energy without anion corrections: -2262.0 kJ/mol of formula units

```
K2ZrGa2O6
1.0
-0.0737 0.8922 5.3035
-4.5901 0.0690 -2.8027
-0.7283 -6.2373 1.0392
K Zr Ga O
2 1 2 6
Direct
0.6667 0.3333 0.5001 K
0.3333 0.6667 0.4999 K
0.0000 0.0000 0.0000 Zr
0.3333 0.6667 0.0000 Ga
0.6667 0.3333 0.0000 Ga
0.0000 0.3468 0.8327 O
0.6532 0.6532 0.8327 O
0.3468 0.0000 0.8327 O
0.0000 0.6532 0.1673 O
0.3468 0.3468 0.1673 O
0.6532 0.0000 0.1673 O
```


Record 4
Entry from the Alexandria database: a geometry-optimized TiReBH2 structure (PBE).

Values from the calculation:
electronic total energy: -5.393 eV per atom

```
TiReBH2
1.0
-1.3112 -1.0876 3.0080
3.8929 -2.0985 0.9382
1.1706 2.8623 1.5452
Re B H Ti
1 1 2 1
Direct
0.5000 0.5000 0.5000 Re
0.0000 0.0000 0.0000 B
0.0000 0.0000 0.5000 H
0.5000 0.0000 0.0000 H
0.0000 0.5000 0.0000 Ti
```


Record 5
Entry from the Alexandria database: a geometry-optimized CrNiIr2 structure (PBE).

Values from the calculation:
electronic total energy: -8.353 eV per atom

```
CrNiIr2
1.0
-4.0366 -0.9156 -1.8224
-3.7774 -2.4619 0.3511
-2.6443 2.9437 2.4096
Cr Ir Ni
1 2 1
Direct
0.2500 0.2500 0.2500 Cr
0.9960 0.9960 0.0001 Ir
0.5040 0.5040 0.4999 Ir
0.7500 0.7500 0.7500 Ni
```


Record 6
Entry from the Alexandria database: a geometry-optimized Pr3MgHg5 structure (PBE).

Values from the calculation:
electronic total energy: -2.387 eV per atom

```
Pr3MgHg5
1.0
-1.1551 -4.2962 4.7164
-8.6145 -1.2201 -3.2212
6.9244 -5.3140 -3.1447
Pr Mg Hg
6 2 10
Direct
0.7500 0.3634 0.3634 Pr
0.7500 0.0000 0.6366 Pr
0.7500 0.6366 0.0000 Pr
0.2500 0.6366 0.6366 Pr
0.2500 0.0000 0.3634 Pr
0.2500 0.3634 0.0000 Pr
0.0000 0.0000 0.0000 Mg
0.5000 0.0000 0.0000 Mg
0.0000 0.6667 0.3333 Hg
0.5000 0.3333 0.6667 Hg
0.0000 0.3333 0.6667 Hg
0.5000 0.6667 0.3333 Hg
0.7500 0.7059 0.7059 Hg
0.7500 0.0000 0.2941 Hg
0.7500 0.2941 0.0000 Hg
0.2500 0.2941 0.2941 Hg
0.2500 0.0000 0.7059 Hg
0.2500 0.7059 0.0000 Hg
```


Record 7
Entry from the Alexandria database: a geometry-optimized Sn3HF structure (PBE).

Values from the calculation:
energy above the lowest structure with this stoichiometry: 0.0 kJ/mol of atoms

```
Sn3HF
1.0
-1.2174 1.9476 4.0538
3.9536 -1.5384 1.9264
2.1437 3.9432 -1.2507
H Sn F
1 3 1
Direct
0.0000 0.0000 0.0000 H
0.0000 0.5000 0.0000 Sn
0.0000 0.0000 0.5000 Sn
0.5000 0.0000 0.0000 Sn
0.5000 0.5000 0.5000 F
```


Record 8
Entry from the Alexandria database: a geometry-optimized SiHgOF2 structure (PBE).

Values from the calculation:
energy above the lowest structure with this stoichiometry: 109.6 kJ/mol of atoms
formation energy without anion corrections: -122.5 kJ/mol of formula units

```
SiHgOF2
1.0
4.5064 0.0000 0.0000
0.0000 4.5064 0.0000
0.0000 0.0000 4.2535
Si Hg O F
1 1 1 2
Direct
0.5000 0.5000 0.5000 Si
0.0000 0.0000 0.0000 Hg
0.0000 0.0000 0.5000 O
0.0000 0.5000 0.0000 F
0.5000 0.0000 0.0000 F
```


Record 9
Entry from the Alexandria database: a geometry-optimized MnIrW structure (PBE).

Values from the calculation:
energy above the lowest structure with this stoichiometry: 3.3 kJ/mol of atoms

```
MnIrW
1.0
-3.3587 -5.0895 0.1119
-0.8127 -6.0429 -0.1388
0.0065 -0.6784 2.6446
Ir Mn W
1 1 1
Direct
0.0029 0.0029 0.9971 Ir
0.6634 0.6634 0.3366 Mn
0.3336 0.3336 0.6664 W
```


Record 10
Entry from the Alexandria database: a geometry-optimized Rb2SrAu2 structure (PBE).

Values from the calculation:
energy above the lowest structure with this stoichiometry: 17.7 kJ/mol of atoms

```
Rb2SrAu2
1.0
9.6588 0.0000 0.0000
0.0000 9.6588 0.0000
0.0000 0.0000 3.9489
Sr Au Rb
2 4 4
Direct
0.0000 0.0000 0.0000 Sr
0.5000 0.5000 0.0000 Sr
0.1801 0.6801 0.5000 Au
0.6801 0.8199 0.5000 Au
0.8199 0.3199 0.5000 Au
0.3199 0.1801 0.5000 Au
0.3763 0.8763 0.0000 Rb
0.8763 0.6237 0.0000 Rb
0.6237 0.1237 0.0000 Rb
0.1237 0.3763 0.0000 Rb
```


Record 11
Entry from the Alexandria database: a geometry-optimized Sc2Br3 structure (PBE).

Values from the calculation:
formation energy without anion corrections: -563.8 kJ/mol of formula units

```
Sc2Br3
1.0
-8.2506 -0.0080 5.5856
-8.0861 -3.8131 4.3986
-5.9541 -2.6126 7.5495
Sc Br
2 3
Direct
0.3811 0.3811 0.3811 Sc
0.6189 0.6189 0.6189 Sc
0.0000 0.0000 0.0000 Br
0.7702 0.7702 0.7702 Br
0.2298 0.2298 0.2298 Br
```


Record 12
Entry from the Alexandria database: a geometry-optimized MnRu2Pt structure (PBE).

Values from the calculation:
electronic total energy: -8.465 eV per atom

```
MnRu2Pt
1.0
2.7465 0.0000 0.0000
0.0000 2.7465 0.0000
0.0000 0.0000 7.5982
Mn Pt Ru
1 1 2
Direct
0.0000 0.0000 0.4952 Mn
0.5000 0.5000 0.7450 Pt
0.0000 0.0000 0.0143 Ru
0.5000 0.5000 0.2455 Ru
```